Entry 1:
Computed, not measured: a relaxed structure of CsLiRuPtI at the PBE-GGA level of DFT.

Results
Energy relative to the elements, uncorrected (meV/atom): -66
Calculated volume (Å³ per cell): 146.2
E above lowest polymorph (eV/f.u.): 0.34
Space group: P1

Cell lengths 4.111, 4.116, 9.722 Å; angles 80.59, 80.03, 65.07 degrees
Element x y z (fractional)
1 I 0.674 0.183 0.283
2 Li 0.072 0.577 0.116
3 Cs 0.225 0.745 0.585
4 Ru 0.453 0.981 0.896
5 Pt 0.814 0.342 0.896

***

Entry 2:
Computed, not measured: a relaxed structure of CsLiRuPtI at the PBE-GGA level of DFT.

Results
Energy relative to the elements, uncorrected (meV/atom): 13
Calculated volume (Å³ per cell): 271.6
E above lowest polymorph (eV/f.u.): 0.74
Space group: Cm

Cell lengths 8.387, 4.168, 7.782 Å; angles 90.00, 93.49, 90.00 degrees
Each line ends with the local moment (μB).
Element x y z (fractional)
1 Ru 0.949 0.500 0.243  0.32
2 Cs 0.399 0.500 0.297  0.00
3 Li 0.089 0.500 0.603  -0.01
4 Li 0.089 0.000 0.103  -0.01
5 I 0.744 0.500 0.639  0.00
6 Ru 0.949 0.000 0.743  0.32
7 Cs 0.399 0.000 0.797  0.00
8 Pt 0.045 0.500 0.931  0.09
9 Pt 0.045 0.000 0.431  0.09
10 I 0.744 0.000 0.139  0.00

***

Entry 3:
Computed, not measured: a relaxed structure of CsLiRuPtI at the PBE-GGA level of DFT.

Results
Energy relative to the elements, uncorrected (meV/atom): 297
Calculated volume (Å³ per cell): 145.2
E above lowest polymorph (eV/f.u.): 2.16
Space group: Pm

Cell lengths 6.102, 3.793, 6.628 Å; angles 90.00, 108.78, 90.00 degrees
Each line ends with the local moment (μB).
Element x y z (fractional)
1 Pt 0.557 0.000 0.526  0.44
2 Cs 0.979 0.500 0.383  0.00
3 Li 0.546 0.500 0.797  -0.01
4 Ru 0.902 0.000 0.841  2.06
5 I 0.355 0.000 0.075  0.05

***

Entry 4:
Computed, not measured: a relaxed structure of CsLiRuPtI at the PBE-GGA level of DFT.

Results
Energy relative to the elements, uncorrected (meV/atom): -39
Calculated volume (Å³ per cell): 254.1
E above lowest polymorph (eV/f.u.): 0.48
Space group: Cm

Cell lengths 9.723, 5.208, 5.209 Å; angles 90.00, 105.56, 90.00 degrees
Each line ends with the local moment (μB).
Element x y z (fractional)
1 Li 0.867 0.500 0.500  -0.01
2 Cs 0.424 0.000 0.778  0.00
3 Li 0.867 0.000 0.000  -0.01
4 Ru 0.064 0.500 0.101  1.54
5 Pt 0.133 0.500 0.635  0.30
6 Cs 0.424 0.500 0.278  0.00
7 I 0.737 0.500 0.935  0.03
8 Ru 0.064 0.000 0.601  1.54
9 Pt 0.133 0.000 0.135  0.30
10 I 0.737 0.000 0.435  0.03